# NbPt3Rh6, optimized geometry, DFT PBE-GGA
data_NbPt3Rh6
_symmetry_space_group_name_H-M 'P 1 21/m 1'
_symmetry_Int_Tables_number 11
_cell_length_a 8.7329
_cell_length_b 3.9197
_cell_length_c 8.7541
_cell_angle_alpha 90.00
_cell_angle_beta 90.32
_cell_angle_gamma 90.00
loop_
_symmetry_equiv_pos_as_xyz
'x,y,z'
'-x,-y,-z'
'-x,y+1/2,-z'
'x,-y+1/2,z'
loop_
_atom_site_label
_atom_site_type_symbol
_atom_site_fract_x
_atom_site_fract_y
_atom_site_fract_z
Nb1 Nb 0.0589 0.2500 0.3837
Pt1 Pt 0.2509 0.2500 0.9987
Pt2 Pt 0.3482 0.7500 0.7999
Pt3 Pt 0.4500 0.2500 0.6012
Rh1 Rh 0.0476 0.7500 0.9010
Rh2 Rh 0.1414 0.2500 0.6951
Rh3 Rh 0.1525 0.7500 0.2046
Rh4 Rh 0.2395 0.7500 0.5000
Rh5 Rh 0.3484 0.2500 0.3013
Rh6 Rh 0.4489 0.7500 0.1000
# Fermi-level density of states: 11.92 states/eV/f.u.
# calculated density: 14.36 g cm⁻³
# energy: -148.6 eV for the cell shown